# 1
Computed, not measured: a geometry-optimized BaBe2CuSe4 structure at the PBE level of DFT.

abc: 6.429 7.542 8.636
angles: 90.00 90.00 90.00
Space group I222 (No. 23)
Asymmetric unit:
1 Ba 0.000 0.000 0.000 [2 per cell]
2 Be 0.000 0.500 0.178 [4 per cell]
3 Cu 0.000 0.000 0.500 [2 per cell]
4 Se 0.237 0.153 0.325 [8 per cell]

## Properties
E: -4.072 eV per atom
formation energy without anion corrections: -0.65 eV/atom
DOS(E_F): 9.495 states/eV/cell


# 2
Computed, not measured: a geometry-optimized InAgGe structure at the PBE level of DFT.

abc: 4.6224 4.6224 3.5530
angles: 90.00 90.00 120.00
Space group P3m1 (No. 156)
Asymmetric unit:
1 In 0.0000 0.0000 0.0000 [1 per cell]
2 Ag 0.3333 0.6667 0.6080 [1 per cell]
3 Ge 0.6667 0.3333 0.4689 [1 per cell]

## Properties
E: -3.221 eV per atom
energy of formation: 181 meV per atom
DOS(E_F): 0.746 states/eV/cell


# 3
Computed, not measured: a geometry-optimized NdDy2Sb2 structure at the PBE level of DFT.

abc: 6.377 6.420 7.905
angles: 90.00 113.69 90.00
Space group C2/m (No. 12)
Asymmetric unit:
1 Nd 0.000 0.000 0.000 [2 per cell]
2 Dy 0.000 0.251 0.500 [4 per cell]
3 Sb 0.105 0.500 0.208 [4 per cell]

## Properties
E: -5.127 eV per atom
formation energy without anion corrections: -0.68 eV/atom
DOS(E_F): 8.287 states/eV/cell


# 4
Computed, not measured: a geometry-optimized NaMgF2 structure at the PBE level of DFT.

abc: 3.2387 3.2387 22.5657
angles: 90.00 90.00 120.00
Space group R-3m (No. 166, hexagonal axes)
Asymmetric unit:
1 Na 0.0000 0.0000 0.0000 [3 per cell]
2 Mg 0.0000 0.0000 0.5000 [3 per cell]
3 F 0.0000 0.0000 0.1267 [6 per cell]

## Properties
E: -4.151 eV per atom
formation energy without anion corrections: -2.49 eV/atom
excess energy over the best structure of this formula in the dataset: 0.000 eV per atom
DOS(E_F): 1.642 states/eV/cell


# 5
Computed, not measured: a geometry-optimized TcAgSb2 structure at the PBE level of DFT.

abc: 6.920 6.920 6.920
angles: 90.00 90.00 90.00
Space group F-43m (No. 216)
Asymmetric unit:
1 Tc 0.000 0.000 0.000 [4 per cell]
2 Ag 0.250 0.250 0.750 [4 per cell]
3 Sb 0.000 0.000 0.500 [4 per cell]
4 Sb 0.250 0.250 0.250 [4 per cell]

## Properties
E: -4.665 eV per atom
formation energy without anion corrections: 0.70 eV/atom
excess energy over the best structure of this formula in the dataset: 0.592 eV per atom
DOS(E_F): 14.832 states/eV/cell


# 6
Computed, not measured: a geometry-optimized LiTbGeSe3 structure at the PBE level of DFT.

abc: 8.381 3.930 8.994
angles: 90.00 101.37 90.00
Space group P2_1/m (No. 11)
Asymmetric unit:
1 Li 0.105 0.250 0.094 [2 per cell]
2 Tb 0.175 0.250 0.724 [2 per cell]
3 Ge 0.335 0.750 0.358 [2 per cell]
4 Se 0.099 0.250 0.381 [2 per cell]
5 Se 0.212 0.750 0.965 [2 per cell]
6 Se 0.413 0.750 0.650 [2 per cell]

## Properties
E: -4.721 eV per atom
formation energy without anion corrections: -1.12 eV/atom


- Which value of E does entry 3 give?
  -5.127 eV per atom


- E of number 6 (LiTbGeSe3)?
  -4.721 eV per atom


- Which of these has the lowest E?
  NdDy2Sb2